# Ho2Ga9Hg

Ho2Ga9Hg after structural relaxation (PBE, Alexandria).

The structure in CIF format:
```
data_Ho2Ga9Hg
_cell_length_a 4.237
_cell_length_b 4.237
_cell_length_c 13.317
_cell_angle_alpha 90.00
_cell_angle_beta 90.00
_cell_angle_gamma 90.00
_space_group_name_H-M_alt 'P 4/m m m'
_space_group_IT_number 123
_space_group_name_Hall '-P 4 2'
loop_
_atom_site_label
_atom_site_type_symbol
_atom_site_fract_x
_atom_site_fract_y
_atom_site_fract_z
_atom_site_occupancy
Ho1 Ho 0.000 0.000 0.159 1
Ga1 Ga 0.000 0.500 0.000 1
Ga2 Ga 0.000 0.500 0.328 1
Ga3 Ga 0.500 0.500 0.158 1
Ga4 Ga 0.500 0.500 0.500 1
Hg1 Hg 0.000 0.000 0.500 1
```

Formation energy ... -0.2796 eV per atom
Total DFT energy (no corrections) ... -40.054 eV for the cell shown
Density of states at the Fermi level ... 0.463 states/eV/atom
Total moment ... 0.00 μB/f.u.